(1)
! Zn2Tc2Sb, optimized geometry, DFT GGA-PBE; values from VASP
&SYSTEM
  ibrav = 0, nat = 10, ntyp = 3
/
ATOMIC_SPECIES
Zn 65.41 Zn.upf
Sb 121.76 Sb.upf
Tc 98.00 Tc.upf
CELL_PARAMETERS angstrom
-2.809 5.041 -3.297
-3.411 -4.329 -3.714
-2.919 0.072 2.597
ATOMIC_POSITIONS crystal
Zn 0.159 0.659 0.500
Zn 0.841 0.341 0.500
Zn 0.659 0.841 0.500
Zn 0.341 0.159 0.500
Sb 0.500 0.500 0.000
Sb 0.000 0.000 0.000
Tc 0.867 0.633 0.000
Tc 0.133 0.367 0.000
Tc 0.367 0.867 0.000
Tc 0.633 0.133 0.000
! **Fermi-level density of states**: 1.351 states/eV/atom
! **Total moment**: 0.00 μB/cell
! **E_form (uncorrected)**: 105.1 kJ/mol of formula units

***

(2)
! Cs2Cr2Cl5, optimized geometry, DFT GGA-PBE; values from VASP
&SYSTEM
  ibrav = 0, nat = 9, ntyp = 3
/
ATOMIC_SPECIES
Cl 35.45 Cl.upf
Cs 132.91 Cs.upf
Cr 52.00 Cr.upf
CELL_PARAMETERS angstrom
5.032 0.000 0.000
-2.516 6.567 -0.064
0.000 -1.043 8.664
ATOMIC_POSITIONS crystal
Cl 0.704 0.407 0.883
Cl 0.296 0.593 0.117
Cl 0.126 0.252 0.607
Cl 0.000 0.000 0.000
Cl 0.874 0.748 0.393
Cs 0.418 0.837 0.697
Cs 0.582 0.163 0.303
Cr 0.827 0.654 0.121
Cr 0.173 0.346 0.879
! **Fermi-level density of states**: 0.097 states/eV/atom
! **Total moment**: 9.00 μB/cell
! **E_form (uncorrected)**: -1078.3 kJ/mol of formula units

***

(3)
! TaGe2Bi, optimized geometry, DFT GGA-PBE; values from VASP
&SYSTEM
  ibrav = 0, nat = 8, ntyp = 3
/
ATOMIC_SPECIES
Ge 72.64 Ge.upf
Bi 208.98 Bi.upf
Ta 180.95 Ta.upf
CELL_PARAMETERS angstrom
-2.602 4.536 3.367
3.249 -1.832 4.978
4.938 5.188 2.572
ATOMIC_POSITIONS crystal
Ge 0.171 0.625 0.250
Ge 0.875 0.829 0.750
Ge 0.375 0.421 0.750
Ge 0.579 0.125 0.250
Bi 0.750 0.250 0.500
Bi 0.000 0.000 0.000
Ta 0.250 0.750 0.500
Ta 0.500 0.500 0.000
! **ΔE_f**: 0.6215 eV per atom
! **Fermi-level density of states**: 0.284 states/eV/atom
! **Total moment**: 0.00 μB/cell

***

(4)
! LaNd4Se6, optimized geometry, DFT GGA-PBE; values from VASP
&SYSTEM
  ibrav = 0, nat = 22, ntyp = 3
/
ATOMIC_SPECIES
La 138.91 La.upf
Nd 144.24 Nd.upf
Se 78.96 Se.upf
CELL_PARAMETERS angstrom
4.177 0.000 0.000
-2.088 6.948 0.000
0.000 0.000 21.352
ATOMIC_POSITIONS crystal
La 0.343 0.686 0.750
La 0.657 0.314 0.250
Nd 0.410 0.820 0.127
Nd 0.410 0.820 0.373
Nd 0.859 0.718 0.961
Nd 0.590 0.180 0.873
Nd 0.141 0.282 0.039
Nd 0.590 0.180 0.627
Nd 0.141 0.282 0.461
Nd 0.859 0.718 0.539
Se 0.500 0.000 0.000
Se 0.051 0.102 0.333
Se 0.768 0.536 0.408
Se 0.051 0.102 0.167
Se 0.949 0.898 0.667
Se 0.232 0.464 0.908
Se 0.232 0.464 0.592
Se 0.688 0.376 0.750
Se 0.768 0.536 0.092
Se 0.949 0.898 0.833
Se 0.312 0.624 0.250
Se 0.500 0.000 0.500
! **Fermi-level density of states**: 0.322 states/eV/atom
! **Total moment**: 0.00 μB/cell
! **E_form (uncorrected)**: -2020.2 kJ/mol of formula units